[1]
Below is MgSiIr2 at its PBEsol-relaxed geometry, with properties calculated at the SCAN level.

Unit cell a=2.948 b=4.717 c=5.014 alpha=118.06 beta=107.09 gamma=90.00
Atoms (fractional coordinates):
Mg (0.500, 0.000, 0.000)
Si (0.000, 0.500, 0.000)
Ir (0.720, 0.720, 0.440)
Ir (0.280, 0.280, 0.560)

Output
For the total energy, the calculation gives -158.64 eV per cell. For the density of states at the Fermi level, the calculation gives 1.64 states/eV/f.u.


[2]
Below is ScTlSi2Pb at its PBEsol-relaxed geometry, with properties calculated at the SCAN level.

Unit cell a=5.157 b=5.157 c=5.604 alpha=90.00 beta=90.00 gamma=90.00
Each line ends with the local moment (μB).
Atoms (fractional coordinates):
Tl (0.000, 0.000, 0.500)  0.04
Si (0.500, 0.000, 0.000)  -0.01
Sc (0.500, 0.500, 0.500)  0.38
Si (0.000, 0.500, 0.000)  -0.01
Pb (0.000, 0.000, 0.000)  0.00

Output
For the total energy, the calculation gives -176.25 eV per cell. For the density of states at the Fermi level, the calculation gives 3.94 states/eV/f.u.


[3]
Below is BeCd2Te at its PBEsol-relaxed geometry, with properties calculated at the SCAN level.

Unit cell a=3.580 b=3.710 c=6.883 alpha=105.64 beta=105.07 gamma=90.00
Atoms (fractional coordinates):
Cd (0.805, 0.805, 0.609)
Te (0.000, 0.500, 0.000)
Cd (0.195, 0.195, 0.391)
Be (0.500, 0.000, 0.000)

Output
The distance to the lowest polymorph of the same formula comes out at 0.0 meV per atom. For the density of states at the Fermi level, the calculation gives 1.30 states/eV/f.u.


[4]
Below is LiInSb2Te at its PBEsol-relaxed geometry, with properties calculated at the SCAN level.

Unit cell a=5.543 b=5.543 c=5.783 alpha=90.00 beta=90.00 gamma=90.00
Each line ends with the local moment (μB).
Atoms (fractional coordinates):
Li (0.500, 0.500, 0.500)  0.00
In (0.000, 0.000, 0.000)  0.00
Sb (0.000, 0.500, 0.000)  0.16
Te (0.000, 0.000, 0.500)  0.14
Sb (0.500, 0.000, 0.000)  0.16

Output
For the total energy, the calculation gives -145.28 eV per cell. For the density of states at the Fermi level, the calculation gives 3.95 states/eV/f.u.


[5]
Below is Al2PtPb at its PBEsol-relaxed geometry, with properties calculated at the SCAN level.

Unit cell a=3.777 b=4.373 c=5.093 alpha=90.00 beta=111.76 gamma=90.00
Atoms (fractional coordinates):
Pt (0.935, 0.500, 0.871)
Al (0.813, 0.000, 0.626)
Al (0.239, 0.500, 0.478)
Pb (0.536, 0.000, 0.072)

Output
The calculation puts the formation energy at -0.3089 eV/atom. For the density of states at the Fermi level, the calculation gives 1.47 states/eV/f.u.


[6]
Below is CrSb2Au at its PBEsol-relaxed geometry, with properties calculated at the SCAN level.

Unit cell a=4.129 b=4.129 c=5.595 alpha=111.65 beta=111.65 gamma=90.00
Each line ends with the local moment (μB).
Atoms (fractional coordinates):
Cr (0.250, 0.750, 0.500)  3.83
Sb (0.000, 0.000, 0.000)  -0.02
Au (0.500, 0.500, 0.000)  0.00
Sb (0.750, 0.250, 0.500)  -0.03

Output
For the total energy, the calculation gives -161.49 eV per cell. For the density of states at the Fermi level, the calculation gives 1.81 states/eV/f.u.


[7]
Below is K2Pb at its PBEsol-relaxed geometry, with properties calculated at the SCAN level.

Unit cell a=4.823 b=7.079 c=9.378 alpha=100.91 beta=104.90 gamma=90.00
Atoms (fractional coordinates):
K (0.659, 0.839, 0.319)
Pb (0.267, 0.634, 0.534)
K (0.918, 0.708, 0.836)
K (0.341, 0.161, 0.681)
K (0.082, 0.292, 0.164)
Pb (0.733, 0.366, 0.466)

Output
The calculation puts the formation energy at -0.2378 eV/atom. For the density of states at the Fermi level, the calculation gives 1.58 states/eV/f.u.


[8]
Below is RhPb3 at its PBEsol-relaxed geometry, with properties calculated at the SCAN level.

Unit cell a=3.343 b=3.343 c=8.451 alpha=90.00 beta=90.00 gamma=90.00
Atoms (fractional coordinates):
Pb (0.000, 0.000, 0.804)
Pb (0.500, 0.500, 0.500)
Rh (0.500, 0.500, 0.000)
Pb (0.000, 0.000, 0.196)

Output
The calculation puts the formation energy at 0.0667 eV/atom. For the density of states at the Fermi level, the calculation gives 4.01 states/eV/f.u.


[9]
Below is BeRu2 at its PBEsol-relaxed geometry, with properties calculated at the SCAN level.

Unit cell a=2.753 b=4.094 c=6.325 alpha=90.00 beta=102.57 gamma=90.00
Atoms (fractional coordinates):
Ru (0.775, 0.750, 0.550)
Be (0.564, 0.250, 0.128)
Ru (0.908, 0.250, 0.815)
Ru (0.092, 0.750, 0.185)
Be (0.436, 0.750, 0.872)
Ru (0.225, 0.250, 0.450)

Output
The calculation puts the formation energy at -0.1755 eV/atom. For the density of states at the Fermi level, the calculation gives 2.06 states/eV/f.u.


[10]
Below is InOsRh2 at its PBEsol-relaxed geometry, with properties calculated at the SCAN level.

Unit cell a=2.923 b=4.494 c=4.582 alpha=90.00 beta=90.00 gamma=90.00
Atoms (fractional coordinates):
In (0.500, 0.500, 0.000)
Os (0.000, 0.500, 0.500)
Rh (0.500, 0.000, 0.500)
Rh (0.000, 0.000, 0.000)

Output
The calculation puts the formation energy at 0.3233 eV/atom. For the density of states at the Fermi level, the calculation gives 4.27 states/eV/f.u.


[11]
Below is NaTlIn2 at its PBEsol-relaxed geometry, with properties calculated at the SCAN level.

Unit cell a=5.267 b=5.267 c=5.267 alpha=60.00 beta=60.00 gamma=60.00
Atoms (fractional coordinates):
Na (0.000, 0.000, 0.000)
In (0.250, 0.250, 0.250)
Tl (0.500, 0.500, 0.500)
In (0.750, 0.750, 0.750)

Output
The calculation puts the formation energy at -0.0401 eV/atom. For the density of states at the Fermi level, the calculation gives 1.16 states/eV/f.u.


[12]
Below is YBe2I at its PBEsol-relaxed geometry, with properties calculated at the SCAN level.

Unit cell a=4.776 b=4.776 c=4.776 alpha=60.00 beta=60.00 gamma=60.00
Atoms (fractional coordinates):
I (0.500, 0.500, 0.500)
Y (0.000, 0.000, 0.000)
Be (0.750, 0.750, 0.750)
Be (0.250, 0.250, 0.250)

Output
For the total energy, the calculation gives -69.95 eV per cell. For the density of states at the Fermi level, the calculation gives 2.81 states/eV/f.u.


[13]
Below is LiSc2Pt at its PBEsol-relaxed geometry, with properties calculated at the SCAN level.

Unit cell a=3.385 b=4.490 c=5.587 alpha=113.69 beta=107.64 gamma=90.00
Atoms (fractional coordinates):
Li (0.468, 0.468, 0.937)
Sc (0.251, 0.751, 0.502)
Sc (0.032, 0.032, 0.064)
Pt (0.748, 0.248, 0.497)

Output
The calculation puts the formation energy at -0.6770 eV/atom. The distance to the lowest polymorph of the same formula comes out at 226.3 meV per atom. For the density of states at the Fermi level, the calculation gives 3.42 states/eV/f.u.


[14]
Below is SiSb2P at its PBEsol-relaxed geometry, with properties calculated at the SCAN level.

Unit cell a=2.881 b=5.526 c=5.526 alpha=90.00 beta=90.00 gamma=90.00
Atoms (fractional coordinates):
Sb (0.000, 0.000, 0.500)
Si (0.000, 0.500, 0.500)
P (0.000, 0.000, 0.000)
Sb (0.000, 0.500, 0.000)

Output
The distance to the lowest polymorph of the same formula comes out at 0.0 meV per atom. For the density of states at the Fermi level, the calculation gives 1.73 states/eV/f.u.


[15]
Below is Zn2WCl at its PBEsol-relaxed geometry, with properties calculated at the SCAN level.

Unit cell a=2.729 b=4.326 c=5.346 alpha=95.63 beta=104.79 gamma=90.00
Atoms (fractional coordinates):
Zn (0.732, 0.739, 0.465)
Cl (0.500, 0.000, 0.000)
W (0.000, 0.500, 0.000)
Zn (0.268, 0.261, 0.535)

Output
For the total energy, the calculation gives -102.10 eV per cell. For the density of states at the Fermi level, the calculation gives 2.83 states/eV/f.u.


[16]
Below is VOF at its PBEsol-relaxed geometry, with properties calculated at the SCAN level.

Unit cell a=5.872 b=5.872 c=5.872 alpha=100.27 beta=100.27 gamma=100.27
Each line ends with the local moment (μB).
Atoms (fractional coordinates):
O (0.405, 0.181, 0.575)  0.00
F (0.891, 0.669, 0.067)  0.00
F (0.067, 0.891, 0.669)  0.00
F (0.669, 0.067, 0.891)  0.00
O (0.575, 0.405, 0.181)  0.00
O (0.181, 0.575, 0.405)  0.00
F (0.933, 0.109, 0.331)  0.00
V (0.397, 0.856, 0.656)  1.89
O (0.819, 0.425, 0.595)  0.00
O (0.595, 0.819, 0.425)  0.00
V (0.856, 0.656, 0.397)  1.89
F (0.109, 0.331, 0.933)  0.00
V (0.656, 0.397, 0.856)  1.89
V (0.344, 0.603, 0.144)  1.89
V (0.144, 0.344, 0.603)  1.89
O (0.425, 0.595, 0.819)  0.00
F (0.331, 0.933, 0.109)  0.00
V (0.603, 0.144, 0.344)  1.89

Output
For the total energy, the calculation gives -214.86 eV per cell.


[17]
Below is Rb5C at its PBEsol-relaxed geometry, with properties calculated at the SCAN level.

Unit cell a=8.700 b=8.700 c=8.700 alpha=60.00 beta=60.00 gamma=60.00
Each line ends with the local moment (μB).
Atoms (fractional coordinates):
Rb (0.250, 0.250, 0.250)  -0.03
Rb (0.626, 0.626, 0.626)  -0.01
Rb (0.122, 0.626, 0.626)  -0.01
Rb (0.626, 0.122, 0.626)  -0.01
C (0.000, 0.000, 0.000)  1.11
Rb (0.626, 0.626, 0.122)  -0.01

Output
The calculation puts the formation energy at 1.1151 eV/atom. For the density of states at the Fermi level, the calculation gives 3.79 states/eV/f.u.


[18]
Below is LiZnCu2 at its PBEsol-relaxed geometry, with properties calculated at the SCAN level.

Unit cell a=2.587 b=2.587 c=8.614 alpha=81.36 beta=81.36 gamma=60.00
Atoms (fractional coordinates):
Cu (0.750, 0.750, 0.751)
Cu (0.250, 0.250, 0.249)
Li (0.500, 0.500, 0.500)
Zn (0.000, 0.000, 0.000)

Output
The calculation puts the formation energy at -0.0329 eV/atom. For the density of states at the Fermi level, the calculation gives 1.20 states/eV/f.u.


[19]
Below is LiP2RuS at its PBEsol-relaxed geometry, with properties calculated at the SCAN level.

Unit cell a=4.378 b=4.378 c=5.329 alpha=90.00 beta=90.00 gamma=90.00
Atoms (fractional coordinates):
Ru (0.000, 0.000, 0.000)
P (0.000, 0.500, 0.000)
P (0.500, 0.000, 0.000)
S (0.000, 0.000, 0.500)
Li (0.500, 0.500, 0.500)

Output
The distance to the lowest polymorph of the same formula comes out at 0.0 meV per atom. For the density of states at the Fermi level, the calculation gives 3.33 states/eV/f.u.


[20]
Below is TcP2RhS at its PBEsol-relaxed geometry, with properties calculated at the SCAN level.

Unit cell a=4.410 b=4.410 c=4.626 alpha=90.00 beta=90.00 gamma=90.00
Each line ends with the local moment (μB).
Atoms (fractional coordinates):
P (0.500, 0.000, 0.000)  -0.21
S (0.000, 0.000, 0.500)  -0.12
Tc (0.500, 0.500, 0.500)  3.49
Rh (0.000, 0.000, 0.000)  -0.19
P (0.000, 0.500, 0.000)  -0.21

Output
For the total energy, the calculation gives -94.38 eV per cell. For the density of states at the Fermi level, the calculation gives 3.08 states/eV/f.u.


Number 1: M_tot 0.00 μB/cell. Number 2: M_tot 0.61 μB/cell. Number 3: M_tot 0.00 μB/cell. Number 4: M_tot 1.01 μB/cell. Number 5: M_tot 0.00 μB/cell. Number 6: M_tot 4.03 μB/cell. Number 7: M_tot 0.01 μB/cell. Number 8: M_tot 0.01 μB/cell. Number 9: M_tot 0.00 μB/cell. Number 10: M_tot 0.01 μB/cell. Number 11: M_tot 0.00 μB/cell. Number 12: M_tot 0.00 μB/cell. Number 13: M_tot 0.00 μB/cell. Number 14: M_tot 0.00 μB/cell. Number 15: M_tot 0.00 μB/cell. Number 16: M_tot 12.00 μB/cell. Number 17: M_tot 2.20 μB/cell. Number 18: M_tot 0.00 μB/cell. Number 19: M_tot 0.00 μB/cell. Number 20: M_tot 2.61 μB/cell.